[1]
A relaxed Ca2AgPbN crystal, computed with PBE-GGA.

Computed properties:
Its total magnetization is 0.00 μB/cell. The value obtained for the formation energy from raw total energies is -0.3545 eV per atom. Its space group is No. 123.

Cell: 4.8519 4.8519 4.6444 Å, 90.00 90.00 90.00°
With the nearest neighbours (Å) after each atom.
Sites, in units of the cell vectors:
Pb  0.5000  0.5000  0.5000  8 Ca 3.36, 4 Ag 3.43
Ca  0.0000  0.5000  0.0000  2 N 2.43
Ca  0.5000  0.0000  0.0000  2 N 2.43
Ag  0.0000  0.0000  0.5000  2 N 2.32
N  0.0000  0.0000  0.0000  2 Ag 2.32, 4 Ca 2.43



[2]
A relaxed Y2TmOs crystal, computed with PBE-GGA.

Computed properties:
The energy of formation is -0.24 eV per atom. Its total magnetization is 0.00 μB/cell. Its space group is No. 63. Its energy above the lowest structure with this stoichiometry is 0.09 eV per formula unit.

Cell: 3.9706 6.2280 9.0222 Å, 90.00 90.00 108.59°
With the nearest neighbours (Å) after each atom.
Sites, in units of the cell vectors:
Y  0.3570  0.7139  0.5655  3 Os 2.94-3.07
Y  0.6430  0.2861  0.4345  3 Os 2.94-3.07
Y  0.3570  0.7139  0.9345  3 Os 2.94-3.07
Y  0.6430  0.2861  0.0655  3 Os 2.94-3.07
Tm  0.9233  0.8467  0.2500  2 Os 2.77
Tm  0.0767  0.1533  0.7500  2 Os 2.77
Os  0.7401  0.4801  0.7500  2 Tm 2.77, 6 Y 2.94-3.07
Os  0.2599  0.5199  0.2500  2 Tm 2.77, 6 Y 2.94-3.07



[3]
A relaxed Co2OsRh crystal, computed with PBE-GGA.

Computed properties:
The energy of formation is 0.17 eV per atom. Its total magnetization is 2.39 μB/cell. Its space group is No. 123. Its energy above the lowest structure with this stoichiometry is 0.24 eV per formula unit.

Cell: 3.7412 3.7412 3.5689 Å, 90.00 90.00 90.00°
With the nearest neighbours (Å) after each atom.
Sites, in units of the cell vectors:
Co  0.0000  0.0000  0.0000  4 Os 2.59, 4 Rh 2.59, 4 Co 2.65
Co  0.5000  0.5000  0.0000  4 Os 2.59, 4 Rh 2.59, 4 Co 2.65
Os  0.5000  0.0000  0.5000  8 Co 2.59, 4 Rh 2.65
Rh  0.0000  0.5000  0.5000  8 Co 2.59, 4 Os 2.65



[4]
A relaxed BaLi2AuF crystal, computed with PBE-GGA.

Computed properties:
Its total magnetization is 0.00 μB/cell. The value obtained for the formation energy from raw total energies is -1.2515 eV per atom. Its space group is No. 123.

Cell: 4.4429 4.4429 5.5394 Å, 90.00 90.00 90.00°
With the nearest neighbours (Å) after each atom.
Sites, in units of the cell vectors:
Li  0.0000  0.5000  0.0000  2 F 2.22
Li  0.5000  0.0000  0.0000  2 F 2.22
Au  0.5000  0.5000  0.5000  4 Ba 3.14
Ba  0.0000  0.0000  0.5000  2 F 2.77
F  0.0000  0.0000  0.0000  4 Li 2.22



[5]
A relaxed UCd6 crystal, computed with PBE-GGA.

Computed properties:
The energy of formation is 0.74 eV per atom. Its total magnetization is 3.62 μB/cell. Its space group is No. 229.

Cell: 6.6604 6.6604 6.6604 Å, 109.47 109.47 109.47°
With the nearest neighbours (Å) after each atom.
Sites, in units of the cell vectors:
U  0.0000  0.0000  0.0000  24 Cd 4.30
Cd  0.2500  0.7500  0.5000  4 Cd 2.72
Cd  0.5000  0.7500  0.2500  4 Cd 2.72
Cd  0.2500  0.5000  0.7500  4 Cd 2.72
Cd  0.7500  0.2500  0.5000  4 Cd 2.72
Cd  0.5000  0.2500  0.7500  4 Cd 2.72
Cd  0.7500  0.5000  0.2500  4 Cd 2.72



[6]
A relaxed LaZnTc2 crystal, computed with PBE-GGA.

Computed properties:
The energy of formation is 0.18 eV per atom. Its total magnetization is 0.00 μB/cell. Its space group is No. 6.

Cell: 4.3422 3.0996 5.8353 Å, 77.32 90.00 90.00°
With the nearest neighbours (Å) after each atom.
Sites, in units of the cell vectors:
La  0.5000  0.7545  0.7448  1 Tc 2.73
Tc  0.0000  0.0330  0.0816  2 Tc 2.53, 2 Zn 2.67-2.69
Tc  0.5000  0.3308  0.2081  2 Tc 2.53, 2 Zn 2.66, 1 La 2.73
Zn  0.0000  0.3817  0.4655  4 Tc 2.66-2.69



[7]
A relaxed Ce3SmSn12 crystal, computed with PBE-GGA.

Computed properties:
The energy of formation is -0.53 eV per atom. Its total magnetization is 1.06 μB/cell. Its space group is No. 123.

Cell: 4.7427 4.7427 18.7357 Å, 90.00 90.00 90.00°
With the nearest neighbours (Å) after each atom.
Sites, in units of the cell vectors:
Ce  0.0000  0.0000  0.2518  12 Sn 3.32-3.35
Ce  0.0000  0.0000  0.5000  12 Sn 3.32-3.35
Ce  0.0000  0.0000  0.7482  12 Sn 3.32-3.35
Sm  0.0000  0.0000  0.0000  12 Sn 3.35
Sn  0.5000  0.5000  0.0000  8 Sn 3.35, 4 Sm 3.35
Sn  0.5000  0.5000  0.2507  8 Sn 3.33, 4 Ce 3.35
Sn  0.5000  0.5000  0.5000  8 Sn 3.32, 4 Ce 3.35
Sn  0.5000  0.5000  0.7493  8 Sn 3.33, 4 Ce 3.35
Sn  0.5000  0.0000  0.1260  8 Sn 3.33-3.35, 2 Ce 3.34, 2 Sm 3.35
Sn  0.5000  0.0000  0.3756  4 Ce 3.32, 8 Sn 3.32-3.35
Sn  0.5000  0.0000  0.6244  4 Ce 3.32, 8 Sn 3.32-3.35
Sn  0.5000  0.0000  0.8740  8 Sn 3.33-3.35, 2 Ce 3.34, 2 Sm 3.35
Sn  0.0000  0.5000  0.1260  8 Sn 3.33-3.35, 2 Ce 3.34, 2 Sm 3.35
Sn  0.0000  0.5000  0.3756  4 Ce 3.32, 8 Sn 3.32-3.35
Sn  0.0000  0.5000  0.6244  4 Ce 3.32, 8 Sn 3.32-3.35
Sn  0.0000  0.5000  0.8740  8 Sn 3.33-3.35, 2 Ce 3.34, 2 Sm 3.35



[8]
A relaxed MnTlBiS3 crystal, computed with PBE-GGA.

Computed properties:
Its total magnetization is 10.01 μB/cell. The value obtained for the formation energy from raw total energies is -0.4193 eV per atom. Its space group is No. 11.

Cell: 4.1337 8.9425 9.3842 Å, 102.12 90.00 90.00°
With the nearest neighbours (Å) after each atom.
Sites, in units of the cell vectors:
Mn  0.2500  0.0887  0.6064  4 S 2.38-2.49
Mn  0.7500  0.9113  0.3936  4 S 2.38-2.49
Tl  0.7500  0.8185  0.7810  7 S 3.21-3.48
Tl  0.2500  0.1815  0.2190  7 S 3.21-3.48
Bi  0.2500  0.6560  0.1413  5 S 2.66-2.90
Bi  0.7500  0.3440  0.8587  5 S 2.66-2.90
S  0.2500  0.8147  0.4812  3 Mn 2.45-2.49
S  0.7500  0.8698  0.1347  1 Mn 2.38
S  0.7500  0.4301  0.1478  3 Bi 2.66-2.90
S  0.7500  0.1853  0.5188  3 Mn 2.45-2.49
S  0.2500  0.5699  0.8522  3 Bi 2.66-2.90
S  0.2500  0.1302  0.8653  1 Mn 2.38



[9]
A relaxed Tb2NdCd8 crystal, computed with PBE-GGA.

Computed properties:
The energy of formation is -0.27 eV per atom. Its total magnetization is 0.00 μB/cell. Its space group is No. 12.

Cell: 5.3461 6.3865 9.0079 Å, 110.88 107.40 89.63°
With the nearest neighbours (Å) after each atom.
Sites, in units of the cell vectors:
Tb  0.6900  0.6900  0.3800  12 Cd 3.18-3.32
Tb  0.3100  0.3100  0.6200  12 Cd 3.18-3.32
Nd  0.5000  0.0000  0.0000  6 Cd 3.23-3.47
Cd  0.1325  0.3616  0.2599  6 Cd 2.96-3.28, 1 Tb 3.23
Cd  0.8726  0.1017  0.7401  6 Cd 2.96-3.28, 1 Tb 3.23
Cd  0.7481  0.4969  0.0000  2 Cd 2.65-2.69
Cd  0.7022  0.2022  0.4043  4 Tb 3.18-3.20, 6 Cd 3.18-3.28, 1 Nd 3.23
Cd  0.2978  0.7978  0.5957  4 Tb 3.18-3.20, 6 Cd 3.18-3.28, 1 Nd 3.23
Cd  0.2519  0.5031  0.0000  2 Cd 2.65-2.69
Cd  0.1274  0.8983  0.2599  6 Cd 2.96-3.28, 1 Tb 3.23
Cd  0.8675  0.6384  0.7401  6 Cd 2.96-3.28, 1 Tb 3.23



[10]
A relaxed ReAgTe2 crystal, computed with PBE-GGA.

Computed properties:
Its total magnetization is 0.00 μB/cell. The value obtained for the formation energy from raw total energies is 0.3147 eV per atom. Its space group is No. 12. Its energy above the lowest structure with this stoichiometry is 0.00 eV per formula unit.

Cell: 4.1351 4.1351 8.7076 Å, 105.12 105.12 48.18°
With the nearest neighbours (Å) after each atom.
Sites, in units of the cell vectors:
Re  0.2500  0.2500  0.2500  6 Te 2.69-2.71
Te  0.8944  0.8944  0.0732  3 Re 2.69-2.71, 1 Ag 2.71
Te  0.6056  0.6056  0.4268  3 Re 2.69-2.71, 1 Ag 2.71
Ag  0.7500  0.7500  0.7500  2 Te 2.71